[1]
# Pm2TlOs

A relaxed structure of Pm2TlOs (PBE-GGA, Alexandria).

Space-group type: Fm-3m (225)
Total moment (μB/f.u.): 0.00
Energy above the lowest structure with this stoichiometry (eV per atom): 0.146
D(E_F) (states/eV/cell): 3.0
Crystal system: cubic
Calculated formation energy (eV per atom): -0.051
Final energy (Ry/atom): -0.428

a = 5.198 Å, b = 5.198 Å, c = 5.198 Å
α = 60.00°, β = 60.00°, γ = 60.00°
Atoms (fractional coordinates):
Pm1 0.250 0.250 0.250
Pm2 0.750 0.750 0.750
Tl1 0.000 0.000 0.000
Os1 0.500 0.500 0.500



[2]
# RbSnF6

A relaxed structure of RbSnF6 (PBE-GGA, Alexandria).

Space-group type: R-3m (166)
Total moment (μB/f.u.): 1.05
Uncorrected formation energy (meV per atom): -2244.1
Energy above the lowest structure with this stoichiometry (eV per atom): 0.000
D(E_F) (states/eV/cell): 8.9
Crystal system: trigonal
Final energy (Ry/atom): -0.314

a = 5.277 Å, b = 5.277 Å, c = 5.277 Å
α = 96.47°, β = 96.47°, γ = 96.47°
Atoms (fractional coordinates):
Rb1 0.000 0.000 0.000
Sn1 0.500 0.500 0.500
F1 0.233 0.233 0.585
F2 0.233 0.585 0.233
F3 0.415 0.767 0.767
F4 0.585 0.233 0.233
F5 0.767 0.415 0.767
F6 0.767 0.767 0.415



[3]
# LiY2Mg

A relaxed structure of LiY2Mg (PBE-GGA, Alexandria).

Space-group type: Pm (6)
Total moment (μB/f.u.): 0.00
D(E_F) (states/eV/cell): 4.2
Crystal system: monoclinic
Calculated formation energy (eV per atom): 0.043
Final energy (Ry/atom): -0.299

a = 3.357 Å, b = 5.158 Å, c = 6.504 Å
α = 90.00°, β = 104.84°, γ = 90.00°
Atoms (fractional coordinates):
Li1 0.000 0.000 0.000
Y1 0.391 0.500 0.788
Y2 0.732 0.000 0.474
Mg1 0.124 0.500 0.259



[4]
# Sm3MgAu4

A relaxed structure of Sm3MgAu4 (PBE-GGA, Alexandria).

Space-group type: R-3m (166)
Total moment (μB/f.u.): 0.00
D(E_F) (states/eV/cell): 5.1
Crystal system: trigonal
Calculated formation energy (eV per atom): -0.766
Final energy (Ry/atom): -0.321

a = 8.855 Å, b = 8.855 Å, c = 8.855 Å
α = 33.45°, β = 33.45°, γ = 33.45°
Atoms (fractional coordinates):
Sm1 0.000 0.000 0.000
Sm2 0.244 0.244 0.244
Sm3 0.756 0.756 0.756
Mg1 0.500 0.500 0.500
Au1 0.122 0.122 0.122
Au2 0.373 0.373 0.373
Au3 0.627 0.627 0.627
Au4 0.878 0.878 0.878



[5]
# VSiH2

A relaxed structure of VSiH2 (PBE-GGA, Alexandria).

Space-group type: Fm-3m (225)
Total moment (μB/f.u.): 0.08
Energy above the lowest structure with this stoichiometry (eV per atom): 0.225
D(E_F) (states/eV/cell): 1.7
Crystal system: cubic
Final energy (Ry/atom): -0.349

a = 3.581 Å, b = 3.581 Å, c = 3.581 Å
α = 60.00°, β = 60.00°, γ = 60.00°
Atoms (fractional coordinates):
V1 0.000 0.000 0.000
Si1 0.500 0.500 0.500
H1 0.250 0.250 0.250
H2 0.750 0.750 0.750



[6]
# SrNiHg

A relaxed structure of SrNiHg (PBE-GGA, Alexandria).

Space-group type: C2/m (12)
Total moment (μB/f.u.): 0.00
D(E_F) (states/eV/cell): 3.2
Crystal system: monoclinic
Calculated formation energy (eV per atom): -0.255
Final energy (Ry/atom): -0.209

a = 6.817 Å, b = 6.817 Å, c = 5.573 Å
α = 101.60°, β = 101.60°, γ = 36.03°
Atoms (fractional coordinates):
Sr1 0.121 0.121 0.312
Sr2 0.879 0.879 0.688
Ni1 0.224 0.224 0.894
Ni2 0.776 0.776 0.106
Hg1 0.405 0.405 0.221
Hg2 0.595 0.595 0.779



[7]
# Er4Tl3Pb

A relaxed structure of Er4Tl3Pb (PBE-GGA, Alexandria).

Space-group type: C2/m (12)
Total moment (μB/f.u.): 0.00
D(E_F) (states/eV/cell): 6.8
Crystal system: monoclinic
Calculated formation energy (eV per atom): -0.330
Final energy (Ry/atom): -0.291

a = 9.340 Å, b = 9.340 Å, c = 4.993 Å
α = 105.39°, β = 105.39°, γ = 31.01°
Atoms (fractional coordinates):
Er1 0.127 0.127 0.127
Er2 0.373 0.373 0.373
Er3 0.627 0.627 0.627
Er4 0.873 0.873 0.873
Tl1 0.000 0.000 0.500
Tl2 0.250 0.250 0.750
Tl3 0.750 0.750 0.250
Pb1 0.500 0.500 0.000



[8]
# Pu3AgPd2

A relaxed structure of Pu3AgPd2 (PBE-GGA, Alexandria).

Space-group type: P4/mmm (123)
Total moment (μB/f.u.): 5.65
Energy above the lowest structure with this stoichiometry (eV per atom): 0.447
D(E_F) (states/eV/cell): 15.7
Crystal system: tetragonal
Calculated formation energy (eV per atom): 0.217
Final energy (Ry/atom): -0.673

a = 2.965 Å, b = 2.965 Å, c = 14.516 Å
α = 90.00°, β = 90.00°, γ = 90.00°
Atoms (fractional coordinates):
Pu1 0.000 0.000 0.000
Pu2 0.000 0.000 0.169
Pu3 0.000 0.000 0.831
Ag1 0.500 0.500 0.500
Pd1 0.500 0.500 0.313
Pd2 0.500 0.500 0.687



[9]
# AlTl2Hg

A relaxed structure of AlTl2Hg (PBE-GGA, Alexandria).

Space-group type: I-42d (122)
Total moment (μB/f.u.): 0.00
Energy above the lowest structure with this stoichiometry (eV per atom): 0.114
D(E_F) (states/eV/cell): 3.9
Crystal system: tetragonal
Calculated formation energy (eV per atom): 0.229
Final energy (Ry/atom): -0.144

a = 11.892 Å, b = 11.892 Å, c = 11.892 Å
α = 158.65°, β = 158.65°, γ = 30.37°
Atoms (fractional coordinates):
Al1 0.000 0.000 0.000
Al2 0.750 0.250 0.500
Tl1 0.121 0.625 0.996
Tl2 0.375 0.371 0.496
Tl3 0.629 0.125 0.004
Tl4 0.875 0.879 0.504
Hg1 0.250 0.750 0.500
Hg2 0.500 0.500 0.000



[10]
# PrErPt

A relaxed structure of PrErPt (PBE-GGA, Alexandria).

Space-group type: F-43m (216)
Total moment (μB/f.u.): 0.00
Energy above the lowest structure with this stoichiometry (eV per atom): 0.046
D(E_F) (states/eV/cell): 2.2
Crystal system: cubic
Calculated formation energy (eV per atom): -0.777
Final energy (Ry/atom): -0.434

a = 4.951 Å, b = 4.951 Å, c = 4.951 Å
α = 60.00°, β = 60.00°, γ = 60.00°
Atoms (fractional coordinates):
Pr1 0.000 0.000 0.000
Er1 0.500 0.500 0.500
Pt1 0.250 0.250 0.250



[11]
# Eu2AlHg

A relaxed structure of Eu2AlHg (PBE-GGA, Alexandria).

Space-group type: R-3m (166)
Total moment (μB/f.u.): 14.99
Energy above the lowest structure with this stoichiometry (eV per atom): 0.225
D(E_F) (states/eV/cell): 12.8
Crystal system: trigonal
Calculated formation energy (eV per atom): -0.156
Final energy (Ry/atom): -0.463

a = 10.045 Å, b = 10.045 Å, c = 10.045 Å
α = 21.89°, β = 21.89°, γ = 21.89°
Atoms (fractional coordinates):
Eu1 0.248 0.248 0.248
Eu2 0.752 0.752 0.752
Al1 0.500 0.500 0.500
Hg1 0.000 0.000 0.000



[12]
# PrMgCu

A relaxed structure of PrMgCu (PBE-GGA, Alexandria).

Space-group type: Pmma (51)
Total moment (μB/f.u.): 0.00
D(E_F) (states/eV/cell): 16.3
Crystal system: orthorhombic
Calculated formation energy (eV per atom): -0.169
Final energy (Ry/atom): -0.269

a = 13.638 Å, b = 4.018 Å, c = 7.745 Å
α = 90.00°, β = 90.00°, γ = 90.00°
Atoms (fractional coordinates):
Pr1 0.043 0.000 0.235
Pr2 0.250 0.000 0.860
Pr3 0.457 0.000 0.235
Pr4 0.543 0.000 0.765
Pr5 0.750 0.000 0.140
Pr6 0.957 0.000 0.765
Mg1 0.128 0.500 0.567
Mg2 0.250 0.500 0.210
Mg3 0.372 0.500 0.567
Mg4 0.628 0.500 0.433
Mg5 0.750 0.500 0.790
Mg6 0.872 0.500 0.433
Cu1 0.092 0.500 0.949
Cu2 0.250 0.000 0.448
Cu3 0.408 0.500 0.949
Cu4 0.592 0.500 0.051
Cu5 0.750 0.000 0.552
Cu6 0.908 0.500 0.051



[13]
# AlTlCr2Ni

A relaxed structure of AlTlCr2Ni (PBE-GGA, Alexandria).

Space-group type: P4/mmm (123)
Total moment (μB/f.u.): 7.73
D(E_F) (states/eV/cell): 3.6
Crystal system: tetragonal
Calculated formation energy (eV per atom): 0.922
Final energy (Ry/atom): -0.390

a = 4.803 Å, b = 4.803 Å, c = 4.321 Å
α = 90.00°, β = 90.00°, γ = 90.00°
Atoms (fractional coordinates):
Al1 0.000 0.000 0.000
Tl1 0.500 0.500 0.500
Cr1 0.000 0.500 0.000
Cr2 0.500 0.000 0.000
Ni1 0.000 0.000 0.500



[14]
# Ac3CdB2O8

A relaxed structure of Ac3CdB2O8 (PBE-GGA, Alexandria).

Space-group type: P-3m1 (164)
Total moment (μB/f.u.): 0.62
Uncorrected formation energy (meV per atom): -2626.1
D(E_F) (states/eV/cell): 4.0
Crystal system: trigonal
Final energy (Ry/atom): -0.541

a = 5.349 Å, b = 5.349 Å, c = 7.986 Å
α = 90.00°, β = 90.00°, γ = 120.00°
Atoms (fractional coordinates):
Ac1 0.000 0.000 0.000
Ac2 0.333 0.667 0.715
Ac3 0.667 0.333 0.285
Cd1 0.000 0.000 0.500
B1 0.333 0.667 0.191
B2 0.667 0.333 0.809
O1 0.181 0.362 0.252
O2 0.181 0.819 0.252
O3 0.333 0.667 0.002
O4 0.362 0.181 0.748
O5 0.638 0.819 0.252
O6 0.667 0.333 0.998
O7 0.819 0.181 0.748
O8 0.819 0.638 0.748



[15]
# La2YPb

A relaxed structure of La2YPb (PBE-GGA, Alexandria).

Space-group type: P4/mmm (123)
Total moment (μB/f.u.): 0.00
D(E_F) (states/eV/cell): 4.0
Crystal system: tetragonal
Calculated formation energy (eV per atom): -0.296
Final energy (Ry/atom): -0.390

a = 4.409 Å, b = 4.409 Å, c = 6.856 Å
α = 90.00°, β = 90.00°, γ = 90.00°
Atoms (fractional coordinates):
La1 0.000 0.000 0.229
La2 0.000 0.000 0.771
Y1 0.500 0.500 0.500
Pb1 0.500 0.500 0.000



[16]
# TmUTe4

A relaxed structure of TmUTe4 (PBE-GGA, Alexandria).

Space-group type: P2_1/c (14)
Total moment (μB/f.u.): 1.06
Uncorrected formation energy (meV per atom): -684.8
Energy above the lowest structure with this stoichiometry (eV per atom): 0.225
D(E_F) (states/eV/cell): 6.9
Crystal system: monoclinic
Final energy (Ry/atom): -0.397

a = 7.497 Å, b = 7.466 Å, c = 7.398 Å
α = 90.00°, β = 90.09°, γ = 90.00°
Atoms (fractional coordinates):
Tm1 0.000 0.000 0.000
Tm2 0.000 0.500 0.500
U1 0.500 0.000 0.500
U2 0.500 0.500 0.000
Te1 0.156 0.148 0.353
Te2 0.156 0.352 0.853
Te3 0.345 0.657 0.345
Te4 0.345 0.843 0.845
Te5 0.655 0.157 0.155
Te6 0.655 0.343 0.655
Te7 0.844 0.648 0.147
Te8 0.844 0.852 0.647



[17]
# MgScSe2S

A relaxed structure of MgScSe2S (PBE-GGA, Alexandria).

Space-group type: P4/mmm (123)
Total moment (μB/f.u.): 0.00
Uncorrected formation energy (meV per atom): -659.2
D(E_F) (states/eV/cell): 3.3
Crystal system: tetragonal
Final energy (Ry/atom): -0.328

a = 5.179 Å, b = 5.179 Å, c = 4.839 Å
α = 90.00°, β = 90.00°, γ = 90.00°
Atoms (fractional coordinates):
Mg1 0.000 0.000 0.000
Sc1 0.500 0.500 0.500
Se1 0.000 0.500 0.500
Se2 0.500 0.000 0.500
S1 0.500 0.500 0.000



[18]
# PmHoB

A relaxed structure of PmHoB (PBE-GGA, Alexandria).

Space-group type: Pm (6)
Total moment (μB/f.u.): 0.00
D(E_F) (states/eV/cell): 5.2
Crystal system: monoclinic
Calculated formation energy (eV per atom): 0.103
Final energy (Ry/atom): -0.385

a = 5.400 Å, b = 4.733 Å, c = 5.667 Å
α = 90.00°, β = 101.03°, γ = 90.00°
Atoms (fractional coordinates):
Pm1 0.000 0.000 0.000
Pm2 0.494 0.000 0.440
Ho1 0.078 0.500 0.585
Ho2 0.570 0.500 0.020
B1 0.137 0.500 0.162
B2 0.448 0.000 0.877



[19]
# Rb2MnGaCl6

A relaxed structure of Rb2MnGaCl6 (PBE-GGA, Alexandria).

Space-group type: Fm-3m (225)
Total moment (μB/f.u.): 4.26
Uncorrected formation energy (meV per atom): -1386.8
D(E_F) (states/eV/cell): 2.0
Crystal system: cubic
Final energy (Ry/atom): -0.287

a = 7.249 Å, b = 7.249 Å, c = 7.249 Å
α = 60.00°, β = 60.00°, γ = 60.00°
Atoms (fractional coordinates):
Rb1 0.250 0.250 0.250
Rb2 0.750 0.750 0.750
Mn1 0.000 0.000 0.000
Ga1 0.500 0.500 0.500
Cl1 0.243 0.243 0.757
Cl2 0.243 0.757 0.243
Cl3 0.243 0.757 0.757
Cl4 0.757 0.243 0.243
Cl5 0.757 0.243 0.757
Cl6 0.757 0.757 0.243



[20]
# Sr3Ta

A relaxed structure of Sr3Ta (PBE-GGA, Alexandria).

Space-group type: P-6m2 (187)
Total moment (μB/f.u.): 0.00
Energy above the lowest structure with this stoichiometry (eV per atom): 0.337
D(E_F) (states/eV/cell): 5.5
Crystal system: hexagonal
Calculated formation energy (eV per atom): 0.818
Final energy (Ry/atom): -0.250

a = 3.682 Å, b = 3.682 Å, c = 12.521 Å
α = 90.00°, β = 90.00°, γ = 120.00°
Atoms (fractional coordinates):
Sr1 0.000 0.000 0.000
Sr2 0.333 0.667 0.292
Sr3 0.333 0.667 0.708
Ta1 0.000 0.000 0.500



[21]
# BePdO3

A relaxed structure of BePdO3 (PBE-GGA, Alexandria).

Space-group type: Pm-3m (221)
Total moment (μB/f.u.): 0.00
Uncorrected formation energy (meV per atom): 343.4
D(E_F) (states/eV/cell): 3.9
Crystal system: cubic
Final energy (Ry/atom): -0.325

a = 3.852 Å, b = 3.852 Å, c = 3.852 Å
α = 90.00°, β = 90.00°, γ = 90.00°
Atoms (fractional coordinates):
Be1 0.000 0.000 0.000
Pd1 0.500 0.500 0.500
O1 0.000 0.500 0.500
O2 0.500 0.000 0.500
O3 0.500 0.500 0.000



[22]
# MgReSbC2

A relaxed structure of MgReSbC2 (PBE-GGA, Alexandria).

Space-group type: P4/mmm (123)
Total moment (μB/f.u.): 0.00
Uncorrected formation energy (meV per atom): 3071.0
D(E_F) (states/eV/cell): 3.6
Crystal system: tetragonal
Final energy (Ry/atom): -0.312

a = 4.158 Å, b = 4.158 Å, c = 5.349 Å
α = 90.00°, β = 90.00°, γ = 90.00°
Atoms (fractional coordinates):
Mg1 0.000 0.000 0.000
Re1 0.500 0.500 0.000
Sb1 0.000 0.000 0.500
C1 0.000 0.500 0.500
C2 0.500 0.000 0.500



[23]
# AlSb2RhI

A relaxed structure of AlSb2RhI (PBE-GGA, Alexandria).

Space-group type: P4/mmm (123)
Total moment (μB/f.u.): 0.00
Uncorrected formation energy (meV per atom): 403.1
Energy above the lowest structure with this stoichiometry (eV per atom): 0.000
D(E_F) (states/eV/cell): 4.5
Crystal system: tetragonal
Final energy (Ry/atom): -0.277

a = 5.099 Å, b = 5.099 Å, c = 5.817 Å
α = 90.00°, β = 90.00°, γ = 90.00°
Atoms (fractional coordinates):
Al1 0.000 0.000 0.000
Sb1 0.000 0.500 0.500
Sb2 0.500 0.000 0.500
Rh1 0.500 0.500 0.500
I1 0.500 0.500 0.000



[24]
# K2GaSn

A relaxed structure of K2GaSn (PBE-GGA, Alexandria).

Space-group type: Cmcm (63)
Total moment (μB/f.u.): 0.00
Energy above the lowest structure with this stoichiometry (eV per atom): 0.000
D(E_F) (states/eV/cell): 4.3
Crystal system: orthorhombic
Calculated formation energy (eV per atom): -0.134
Final energy (Ry/atom): -0.179

a = 6.964 Å, b = 6.964 Å, c = 6.147 Å
α = 90.00°, β = 90.00°, γ = 74.94°
Atoms (fractional coordinates):
K1 0.017 0.327 0.250
K2 0.327 0.017 0.750
K3 0.673 0.983 0.250
K4 0.983 0.673 0.750
Ga1 0.500 0.500 0.000
Ga2 0.500 0.500 0.500
Sn1 0.233 0.767 0.250
Sn2 0.767 0.233 0.750



[25]
# Dy2AuCl

A relaxed structure of Dy2AuCl (PBE-GGA, Alexandria).

Space-group type: R3m (160)
Total moment (μB/f.u.): 0.00
Uncorrected formation energy (meV per atom): -997.9
Energy above the lowest structure with this stoichiometry (eV per atom): 0.020
D(E_F) (states/eV/cell): 1.1
Crystal system: trigonal
Final energy (Ry/atom): -0.337

a = 8.063 Å, b = 8.063 Å, c = 8.063 Å
α = 28.60°, β = 28.60°, γ = 28.60°
Atoms (fractional coordinates):
Dy1 0.000 0.000 0.000
Dy2 0.187 0.187 0.187
Au1 0.594 0.594 0.594
Cl1 0.422 0.422 0.422



[26]
# CaGdCdGa

A relaxed structure of CaGdCdGa (PBE-GGA, Alexandria).

Space-group type: F-43m (216)
Total moment (μB/f.u.): 7.07
D(E_F) (states/eV/cell): 2.9
Crystal system: cubic
Calculated formation energy (eV per atom): -0.436
Final energy (Ry/atom): -0.400

a = 5.256 Å, b = 5.256 Å, c = 5.256 Å
α = 60.00°, β = 60.00°, γ = 60.00°
Atoms (fractional coordinates):
Ca1 0.000 0.000 0.000
Gd1 0.500 0.500 0.500
Cd1 0.750 0.750 0.750
Ga1 0.250 0.250 0.250